Crystalline Co3NCl at its relaxed geometry. Source: Alexandria, functional PBE-GGA.

a = 3.8655 Å, b = 3.8655 Å, c = 3.8655 Å
α = 90.00°, β = 90.00°, γ = 90.00°
Closest atoms and distances in Å follow each position.
Element x y z (fractional)
Co 0.0000 0.0000 0.5000  2 N 1.93
Co 0.0000 0.5000 0.0000  2 N 1.93
Co 0.5000 0.0000 0.0000  2 N 1.93
N 0.0000 0.0000 0.0000  6 Co 1.93
Cl 0.5000 0.5000 0.5000  12 Co 2.73

Total energy, eV per atom: -5.865
Relative energy among the computed polymorphs, eV per atom: 0.000
Total moment, μB per atom: 0.84
ΔE_f (raw), meV per atom: 433


Crystalline CoNCl2 at its relaxed geometry. Source: Alexandria, functional PBE-GGA.

a = 6.0219 Å, b = 6.0219 Å, c = 6.0219 Å
α = 126.39°, β = 126.39°, γ = 79.25°
Closest atoms and distances in Å follow each position.
Element x y z (fractional)
Co 0.0000 0.0000 0.0000  4 Cl 2.15
Co 0.7500 0.2500 0.5000  4 Cl 2.15
N 0.2500 0.7500 0.5000  4 Cl 2.34
N 0.5000 0.5000 0.0000  4 Cl 2.34
Cl 0.0969 0.6250 0.9719  2 Co 2.15, 2 N 2.34
Cl 0.3750 0.3469 0.4719  2 Co 2.15, 2 N 2.34
Cl 0.6531 0.1250 0.0281  2 Co 2.15, 2 N 2.34
Cl 0.8750 0.9031 0.5281  2 Co 2.15, 2 N 2.34

Total energy, eV per atom: -3.447
Relative energy among the computed polymorphs, eV per atom: 0.435
Total moment, μB per atom: 0.00
ΔE_f (raw), meV per atom: 1334


Crystalline CoNCl at its relaxed geometry. Source: Alexandria, functional PBE-GGA.

a = 6.1463 Å, b = 6.1463 Å, c = 3.4974 Å
α = 90.09°, β = 90.09°, γ = 46.47°
Closest atoms and distances in Å follow each position.
Element x y z (fractional)
Co 0.1293 0.1293 0.0006  2 N 1.95
Co 0.8707 0.8707 0.9994  2 N 1.95
N 0.0534 0.0534 0.5002  1 N 1.21
N 0.9466 0.9466 0.4998  1 N 1.21
Cl 0.3389 0.3389 0.9985  3 Co 2.37-2.45
Cl 0.6611 0.6611 0.0015  3 Co 2.37-2.45

Total energy, eV per atom: -5.808
Relative energy among the computed polymorphs, eV per atom: 0.008
Total moment, μB per atom: 0.66
ΔE_f (raw), meV per atom: -49


Crystalline CoNCl at its relaxed geometry. Source: Alexandria, functional PBE-GGA.

a = 6.2438 Å, b = 6.2438 Å, c = 6.0203 Å
α = 113.74°, β = 113.74°, γ = 28.79°
Closest atoms and distances in Å follow each position.
Element x y z (fractional)
Co 0.1619 0.1619 0.0689  2 N 1.98
Co 0.8381 0.8381 0.9311  2 N 1.98
N 0.4463 0.4463 0.9746  1 N 1.21
N 0.5537 0.5537 0.0254  1 N 1.21
Cl 0.1755 0.1755 0.6998  3 Co 2.30-2.44
Cl 0.8245 0.8245 0.3002  3 Co 2.30-2.44

Total energy, eV per atom: -5.816
Relative energy among the computed polymorphs, eV per atom: 0.000
Total moment, μB per atom: 0.70
ΔE_f (raw), meV per atom: -56


Crystalline CoNCl2 at its relaxed geometry. Source: Alexandria, functional PBE-GGA.

a = 4.4613 Å, b = 4.4613 Å, c = 4.4613 Å
α = 60.00°, β = 60.00°, γ = 60.00°
Closest atoms and distances in Å follow each position.
Element x y z (fractional)
Co 0.0000 0.0000 0.0000  8 Cl 2.73
N 0.5000 0.5000 0.5000  8 Cl 2.73
Cl 0.2500 0.2500 0.2500  4 N 2.73, 4 Co 2.73
Cl 0.7500 0.7500 0.7500  4 N 2.73, 4 Co 2.73

Total energy, eV per atom: -3.468
Relative energy among the computed polymorphs, eV per atom: 0.414
Total moment, μB per atom: 0.00
ΔE_f (raw), meV per atom: 1313


Crystalline CoPN2Cl at its relaxed geometry. Source: Alexandria, functional PBE-GGA.

a = 3.5583 Å, b = 3.5583 Å, c = 5.2250 Å
α = 90.00°, β = 90.00°, γ = 90.00°
Closest atoms and distances in Å follow each position.
Element x y z (fractional)
Co 0.0000 0.0000 0.0000  4 N 1.78
P 0.0000 0.0000 0.5000  4 Cl 2.52, 2 Co 2.61
N 0.0000 0.5000 0.0000  2 Co 1.78
N 0.5000 0.0000 0.0000  2 Co 1.78
Cl 0.5000 0.5000 0.5000  4 P 2.52

Total energy, eV per atom: -5.092
Total moment, μB per atom: 0.00
ΔE_f (raw), meV per atom: 1111